# Li2SiAg (PBE, relaxed)
# Total DFT energy (no corrections) (eV/atom): -3.177
data_Li2SiAg
_chemical_formula_sum 'Li2 Si1 Ag1'
_cell_length_a 2.741
_cell_length_b 4.025
_cell_length_c 5.470
_cell_angle_alpha 90.00
_cell_angle_beta 91.60
_cell_angle_gamma 90.00
_space_group_name_H-M_alt 'P 1'
_space_group_IT_number 1
_space_group_name_Hall 'P 1'
loop_
_atom_site_label
_atom_site_fract_x
_atom_site_fract_y
_atom_site_fract_z
Li1 0.003 0.000 0.232
Li2 0.997 0.000 0.768
Si1 0.500 0.500 0.000
Ag1 0.500 0.500 0.500



# MgZnOF2 (PBE, relaxed)
# Total DFT energy (no corrections) (eV/atom): -4.339
# ΔE to the lowest computed polymorph (kJ/mol of atoms): 0.0
data_MgZnOF2
_chemical_formula_sum 'Mg1 Zn1 O1 F2'
_cell_length_a 3.704
_cell_length_b 3.704
_cell_length_c 4.247
_cell_angle_alpha 90.00
_cell_angle_beta 90.00
_cell_angle_gamma 90.00
_space_group_name_H-M_alt 'P 1'
_space_group_IT_number 1
_space_group_name_Hall 'P 1'
loop_
_atom_site_label
_atom_site_fract_x
_atom_site_fract_y
_atom_site_fract_z
Mg1 0.000 0.000 0.000
Zn1 0.500 0.500 0.500
O1 0.000 0.000 0.500
F1 0.000 0.500 0.000
F2 0.500 0.000 0.000